First-principles (GGA-PBE) data for a geometry-optimized MgZnSi2 structure, as listed in Alexandria via LeMat-Bulk.

The total moment is 0.000 μB per cell.

Cell and atoms, written as extended XYZ:
```
4
Lattice="2.9058 0.0000 0.0000 0.0000 2.9058 0.0000 0.0000 0.0000 7.7266" Properties=species:S:1:pos:R:3 pbc="T T T"
Mg 0.0000 0.0000 0.0000
Zn 1.4529 1.4529 5.6548
Si 0.0000 0.0000 3.8095
Si 1.4529 1.4529 2.0360
```



First-principles (GGA-PBE) data for a geometry-optimized Mg4ZnSi structure, as listed in Alexandria via LeMat-Bulk.

The total moment is 0.000 μB per cell.

Cell and atoms, written as extended XYZ:
```
6
Lattice="0.0000 3.9889 3.9889 3.9889 0.0000 3.9889 3.9889 3.9889 0.0000" Properties=species:S:1:pos:R:3 pbc="T T T"
Mg 0.9963 0.9963 0.9963
Mg 2.9926 2.9926 0.9963
Mg 2.9926 0.9963 2.9926
Mg 0.9963 2.9926 2.9926
Zn 3.9889 3.9889 3.9889
Si 5.9834 5.9834 5.9834
```



First-principles (GGA-PBE) data for a geometry-optimized MgZnSi2 structure, as listed in Alexandria via LeMat-Bulk.

The total moment is 0.000 μB per cell.

Cell and atoms, written as extended XYZ:
```
4
Lattice="2.7737 -3.9583 0.0000 2.7737 3.9583 0.0000 -0.0823 0.0000 2.9887" Properties=species:S:1:pos:R:3 pbc="T T T"
Mg 0.0000 0.0000 0.0000
Zn 2.7737 0.0000 0.0000
Si 1.3457 1.9791 1.4943
Si 1.3457 -1.9791 1.4943
```



First-principles (GGA-PBE) data for a geometry-optimized Mg2ZnSi2 structure, as listed in Alexandria via LeMat-Bulk.

The total moment is 0.000 μB per cell.

Cell and atoms, written as extended XYZ:
```
5
Lattice="-1.7282 1.7282 7.8801 1.7282 -1.7282 7.8801 1.7282 1.7282 -7.8801" Properties=species:S:1:pos:R:3 pbc="T T T"
Mg 0.0000 0.0000 1.6419
Mg 0.0000 0.0000 14.1183
Zn 0.0000 0.0000 7.8801
Si 1.7282 0.0000 3.9400
Si 0.0000 1.7282 3.9400
```



First-principles (GGA-PBE) data for a geometry-optimized Mg3ZnSi structure, as listed in Alexandria via LeMat-Bulk.

The total moment is 0.000 μB per cell. Its relative energy among the computed polymorphs is 0.0 kJ per mole of atoms.

Cell and atoms, written as extended XYZ:
```
5
Lattice="5.0206 0.0000 0.0000 0.0000 5.0206 0.0000 0.0000 0.0000 5.0206" Properties=species:S:1:pos:R:3 pbc="T T T"
Mg 0.0000 0.0000 2.5103
Mg 0.0000 2.5103 0.0000
Mg 2.5103 0.0000 0.0000
Zn 2.5103 2.5103 2.5103
Si 0.0000 0.0000 0.0000
```



First-principles (GGA-PBE) data for a geometry-optimized MgZnSi2 structure, as listed in Alexandria via LeMat-Bulk.

The total moment is 0.000 μB per cell.

Cell and atoms, written as extended XYZ:
```
4
Lattice="5.7270 -1.3826 0.0000 5.7270 1.3826 0.0000 -1.9057 0.0000 4.3678" Properties=species:S:1:pos:R:3 pbc="T T T"
Mg 0.0000 0.0000 0.0000
Zn 1.1798 0.0000 3.6259
Si 4.0756 0.0000 1.9083
Si 7.7221 0.0000 1.4738
```



First-principles (GGA-PBE) data for a geometry-optimized MgZnSi2 structure, as listed in Alexandria via LeMat-Bulk.

The total moment is 0.000 μB per cell.

Cell and atoms, written as extended XYZ:
```
4
Lattice="4.8432 0.0000 0.0000 0.0000 2.9010 0.0000 -1.7182 0.0000 4.6176" Properties=species:S:1:pos:R:3 pbc="T T T"
Mg 0.0000 0.0000 0.0000
Zn -0.8591 1.4505 2.3088
Si 1.5625 0.0000 2.3088
Si 2.4216 1.4505 0.0000
```



First-principles (GGA-PBE) data for a geometry-optimized Mg17Zn11Si structure, as listed in Alexandria via LeMat-Bulk.

The total moment is 0.000 μB per cell.

Cell and atoms, written as extended XYZ:
```
29
Lattice="5.1002 -7.1184 0.0000 5.1002 7.1184 0.0000 -4.8709 0.0000 7.4862" Properties=species:S:1:pos:R:3 pbc="T T T"
Mg 0.0000 0.0000 0.0000
Mg 3.1296 4.3098 0.0540
Mg -2.9186 0.0000 4.6203
Mg 0.2806 4.9194 5.3619
Mg 0.0226 0.0000 4.9400
Mg 3.5047 2.5275 2.4254
Mg 3.2376 4.2974 4.8337
Mg 0.4164 2.2401 6.9433
Mg 1.7522 0.0000 2.4423
Mg 3.1296 -4.3098 0.0540
Mg 0.4164 -2.2401 6.9433
Mg 6.4338 1.9810 2.4330
Mg 3.5047 -2.5275 2.4254
Mg 0.2806 -4.9194 5.3619
Mg 7.1851 0.0000 0.2249
Mg 6.4338 -1.9810 2.4330
Mg 3.2376 -4.2974 4.8337
Zn 0.8441 2.6367 3.7708
Zn 4.0087 5.8142 2.4343
Zn -2.2743 1.3279 7.1790
Zn -2.2743 -1.3279 7.1790
Zn 5.9001 4.4611 1.0659
Zn 2.6460 1.3475 5.1525
Zn 0.8441 -2.6367 3.7708
Zn 4.5158 0.0000 3.7220
Zn 2.6460 -1.3475 5.1525
Zn 4.0087 -5.8142 2.4343
Zn 5.9001 -4.4611 1.0659
Si 4.4952 0.0000 1.1579
```



First-principles (GGA-PBE) data for a geometry-optimized Mg2ZnSi2 structure, as listed in Alexandria via LeMat-Bulk.

The total moment is 0.000 μB per cell.

Cell and atoms, written as extended XYZ:
```
10
Lattice="7.6811 0.0000 0.0000 0.0000 7.6811 0.0000 0.0000 0.0000 3.0626" Properties=species:S:1:pos:R:3 pbc="T T T"
Mg 1.4373 2.4032 0.0000
Mg 2.4032 6.2438 0.0000
Mg 5.2779 1.4373 0.0000
Mg 6.2438 5.2779 0.0000
Zn 0.0000 0.0000 1.5313
Zn 3.8406 3.8406 1.5313
Si 0.8506 4.6912 1.5313
Si 2.9900 0.8506 1.5313
Si 4.6912 6.8306 1.5313
Si 6.8306 2.9900 1.5313
```



First-principles (GGA-PBE) data for a geometry-optimized MgZnSi2 structure, as listed in Alexandria via LeMat-Bulk.

The total moment is 0.000 μB per cell.

Cell and atoms, written as extended XYZ:
```
8
Lattice="-2.1656 2.1656 8.2048 2.1656 -2.1656 8.2048 2.1656 2.1656 -8.2048" Properties=species:S:1:pos:R:3 pbc="T T T"
Mg 0.0000 0.0000 0.0000
Mg 0.0000 2.1656 4.1024
Zn 2.1656 0.0000 4.1024
Zn 0.0000 0.0000 8.2048
Si 1.0828 -0.7529 6.1536
Si 1.4127 1.0828 2.0512
Si 1.0828 2.9186 -2.0512
Si 0.7529 1.0828 10.2560
```



First-principles (GGA-PBE) data for a geometry-optimized MgZnSi2 structure, as listed in Alexandria via LeMat-Bulk.

The total moment is 0.000 μB per cell.

Cell and atoms, written as extended XYZ:
```
4
Lattice="2.6994 0.0000 0.0000 0.0000 4.5466 0.0000 0.0000 0.0000 5.2874" Properties=species:S:1:pos:R:3 pbc="T T T"
Mg 0.0000 0.0000 0.0000
Zn 1.3497 2.2733 1.2655
Si 1.3497 0.0000 2.6501
Si 1.3497 2.2733 3.9453
```



First-principles (GGA-PBE) data for a geometry-optimized MgZnSi2 structure, as listed in Alexandria via LeMat-Bulk.

The total moment is 0.000 μB per cell.

Cell and atoms, written as extended XYZ:
```
4
Lattice="3.3827 0.0000 0.0000 0.0000 3.3827 0.0000 0.0000 0.0000 5.8892" Properties=species:S:1:pos:R:3 pbc="T T T"
Mg 0.0000 0.0000 0.0000
Zn 1.6913 1.6913 4.3306
Si 0.0000 0.0000 2.7856
Si 1.6913 1.6913 1.7766
```



First-principles (GGA-PBE) data for a geometry-optimized MgZnSi2 structure, as listed in Alexandria via LeMat-Bulk.

The total moment is 0.000 μB per cell.

Cell and atoms, written as extended XYZ:
```
4
Lattice="1.9660 -2.2105 0.0000 1.9660 2.2105 0.0000 0.0000 0.0000 7.6268" Properties=species:S:1:pos:R:3 pbc="T T T"
Mg 0.0000 0.0000 0.0000
Zn 0.0000 0.0000 3.8134
Si 1.9660 0.0000 2.0056
Si 1.9660 0.0000 5.6212
```



First-principles (GGA-PBE) data for a geometry-optimized MgZrSi3 structure, as listed in Alexandria via LeMat-Bulk.

The total moment is 0.000 μB per cell. Its relative energy among the computed polymorphs is 0.0 kJ per mole of atoms.

Cell and atoms, written as extended XYZ:
```
5
Lattice="5.0823 0.0000 0.0000 0.0000 5.0823 0.0000 0.0000 0.0000 5.0823" Properties=species:S:1:pos:R:3 pbc="T T T"
Mg 0.0000 0.0000 0.0000
Zr 2.5412 2.5412 2.5412
Si 0.0000 2.5412 2.5412
Si 2.5412 0.0000 2.5412
Si 2.5412 2.5412 0.0000
```



First-principles (GGA-PBE) data for a geometry-optimized Mg2ZrSi structure, as listed in Alexandria via LeMat-Bulk.

The total moment is 0.000 μB per cell.

Cell and atoms, written as extended XYZ:
```
4
Lattice="3.1866 0.0000 0.0000 0.0000 4.6409 0.0000 -1.4629 0.0000 5.3521" Properties=species:S:1:pos:R:3 pbc="T T T"
Mg 0.0643 0.0000 1.4118
Mg 1.6594 0.0000 3.9402
Zr 1.5933 2.3205 0.0000
Si -0.7315 2.3205 2.6760
```



First-principles (GGA-PBE) data for a geometry-optimized Mg2ZrSi structure, as listed in Alexandria via LeMat-Bulk.

The total moment is 0.000 μB per cell.

Cell and atoms, written as extended XYZ:
```
4
Lattice="3.2076 0.0000 0.0000 0.0000 3.9688 0.0000 0.0000 0.0000 6.2181" Properties=species:S:1:pos:R:3 pbc="T T T"
Mg 0.0000 0.0000 0.0000
Mg 1.6038 1.9844 1.5435
Zr 1.6038 1.9844 4.4960
Si 0.0000 0.0000 3.2187
```



First-principles (GGA-PBE) data for a geometry-optimized Mg2ZrSi structure, as listed in Alexandria via LeMat-Bulk.

The total moment is 0.000 μB per cell.

Cell and atoms, written as extended XYZ:
```
4
Lattice="5.1832 -1.5219 0.0000 5.1832 1.5219 0.0000 -2.2962 0.0000 5.1154" Properties=species:S:1:pos:R:3 pbc="T T T"
Mg 0.0000 0.0000 0.0000
Mg 0.4311 0.0000 4.2786
Zr 3.5719 0.0000 2.2780
Si 6.3778 0.0000 2.0656
```



First-principles (GGA-PBE) data for a geometry-optimized Mg2ZrSi structure, as listed in Alexandria via LeMat-Bulk.

The total moment is 0.000 μB per cell.

Cell and atoms, written as extended XYZ:
```
8
Lattice="-3.9665 3.9665 2.7326 3.9665 -3.9665 2.7326 3.9665 3.9665 -2.7326" Properties=species:S:1:pos:R:3 pbc="T T T"
Mg 5.9497 1.5915 -0.6831
Mg 1.5915 1.9832 0.6831
Mg -1.9832 2.3750 2.0494
Mg 2.3750 1.9832 3.4157
Zr 3.9665 0.0000 1.3663
Zr 0.0000 0.0000 2.7326
Si 0.0000 0.0000 0.0000
Si 0.0000 3.9665 1.3663
```



First-principles (GGA-PBE) data for a geometry-optimized Mg2ZrSi structure, as listed in Alexandria via LeMat-Bulk.

The total moment is 0.001 μB per cell.

Cell and atoms, written as extended XYZ:
```
4
Lattice="0.0000 3.3690 3.3690 3.3690 0.0000 3.3690 3.3690 3.3690 0.0000" Properties=species:S:1:pos:R:3 pbc="T T T"
Mg 0.0000 0.0000 0.0000
Mg 1.6845 1.6845 1.6845
Zr 3.3690 3.3690 3.3690
Si 5.0536 5.0536 5.0536
```



First-principles (GGA-PBE) data for a geometry-optimized MgZr4Si structure, as listed in Alexandria via LeMat-Bulk.

The total moment is 0.000 μB per cell.

Cell and atoms, written as extended XYZ:
```
6
Lattice="0.0000 4.0619 4.0619 4.0619 0.0000 4.0619 4.0619 4.0619 0.0000" Properties=species:S:1:pos:R:3 pbc="T T T"
Mg 0.0000 0.0000 0.0000
Zr 3.0425 3.0425 3.0425
Zr 5.0814 5.0814 3.0425
Zr 5.0814 3.0425 5.0814
Zr 3.0425 5.0814 5.0814
Si 6.0929 6.0929 6.0929
```



One value per record, in order, for formation energy without anion corrections: 0.2346; 0.3304; 0.2199; 0.0979; 0.2794; 0.1904; 0.2025; -0.0542; 0.1217; 0.2156; 0.1642; 0.2059; 0.2592; 0.6810; -0.0456; -0.1222; -0.1125; 0.1163; 0.0620; 0.3894 eV/atom.